Record 1
# FeB2SCl GGA-PBEsol optimized geometry
data_FeB2SCl
_chemical_formula_sum 'Fe1 B2 S1 Cl1'
_cell_length_a 3.949
_cell_length_b 3.949
_cell_length_c 4.158
_cell_angle_alpha 90.00
_cell_angle_beta 90.00
_cell_angle_gamma 90.00
_space_group_name_H-M_alt 'P 4/m m m'
_space_group_IT_number 123
_space_group_name_Hall '-P 4 2'
loop_
_atom_site_label
_atom_site_fract_x
_atom_site_fract_y
_atom_site_fract_z
Fe1 0.000 0.000 0.000
B1 0.000 0.500 0.000
S1 0.000 0.000 0.500
Cl1 0.500 0.500 0.500
# Volume in Å³/f.u.: 65
# Raw formation energy in kJ/mol of atoms: 74
# Energy in eV per atom: -5.113

Record 2
# GeBS2Cl GGA-PBEsol optimized geometry
data_GeBS2Cl
_chemical_formula_sum 'Ge1 B1 S2 Cl1'
_cell_length_a 4.628
_cell_length_b 4.628
_cell_length_c 4.859
_cell_angle_alpha 90.00
_cell_angle_beta 90.00
_cell_angle_gamma 90.00
_space_group_name_H-M_alt 'P 4/m m m'
_space_group_IT_number 123
_space_group_name_Hall '-P 4 2'
loop_
_atom_site_label
_atom_site_fract_x
_atom_site_fract_y
_atom_site_fract_z
Ge1 0.000 0.000 0.000
B1 0.500 0.500 0.500
S1 0.000 0.500 0.000
Cl1 0.000 0.000 0.500
# Volume in Å³/f.u.: 104
# Raw formation energy in kJ/mol of atoms: 96
# Energy in eV per atom: -3.550